First-principles (PBE) data for a relaxed PrNd3Sb2 crystal, as listed in the Alexandria database.

Calculated values
Space group: C2/m (12)
Energy above the lowest structure with this stoichiometry in eV/atom: 0.0814
Formation energy (no corrections) in eV per atom: -0.74

Cell lengths 4.4802, 10.6086, 10.1055 Å; angles 124.26, 90.00, 102.19 degrees
With the nearest neighbours (Å) after each atom.
Sites, in units of the cell vectors:
Sb (0.7544, 0.5089, 0.2281)  7 Nd 3.26-3.58, 2 Pr 3.32
Sb (0.4911, 0.9821, 0.8298)  4 Nd 3.17-3.29, 1 Sb 3.24, 4 Pr 3.31-3.42
Sb (0.2456, 0.4911, 0.7719)  7 Nd 3.26-3.58, 2 Pr 3.32
Sb (0.5089, 0.0179, 0.1702)  4 Nd 3.17-3.29, 1 Sb 3.24, 4 Pr 3.31-3.42
Nd (0.0542, 0.1084, 0.4324)  3 Sb 3.17-3.44, 3 Nd 3.23-3.36
Nd (0.3122, 0.6244, 0.5144)  4 Sb 3.21-3.58, 4 Nd 3.30-3.36
Nd (0.6878, 0.3756, 0.4856)  4 Sb 3.21-3.58, 4 Nd 3.30-3.36
Nd (0.9458, 0.8916, 0.5676)  3 Sb 3.17-3.44, 3 Nd 3.23-3.36
Nd (0.3517, 0.7034, 0.1752)  4 Sb 3.26-3.33
Nd (0.6483, 0.2966, 0.8248)  4 Sb 3.26-3.33
Pr (0.8881, 0.7761, 0.8974)  6 Sb 3.31-3.42
Pr (0.1119, 0.2239, 0.1026)  6 Sb 3.31-3.42